A geometry-optimized DyCoOs structure, computed with PBE-GGA.

Output
Calculated volume, Å³ per cell: 57.0
Formation energy, meV per atom: -52
Size of the total moment, μB per cell: 0.951
DOS at the Fermi energy, states/eV per atom: 1.28

abc: 4.102 4.006 4.006
angles: 120.00 90.00 90.00
Fractional coordinates of all 3 atoms:
Co 0.167 0.667 0.333
Os 0.167 0.000 0.000
Dy 0.667 0.333 0.667

***

A geometry-optimized DyCoSi2Os structure, computed with PBE-GGA.

Output
Calculated volume, Å³ per cell: 79.3
ΔE_f (raw), eV/atom: -0.78
Size of the total moment, μB per cell: 0.000
DOS at the Fermi energy, states/eV per atom: 0.46

abc: 4.027 4.027 5.657
angles: 110.85 110.85 90.00
Fractional coordinates of all 5 atoms:
Dy 0.000 0.000 0.000
Co 0.250 0.750 0.500
Si 0.627 0.627 0.255
Si 0.373 0.373 0.745
Os 0.750 0.250 0.500

***

A geometry-optimized DyCoSi3Os structure, computed with PBE-GGA.

Output
Calculated volume, Å³ per cell: 218.7
ΔE_f (raw), eV/atom: -0.33
Size of the total moment, μB per cell: 0.000
DOS at the Fermi energy, states/eV per atom: 0.18

abc: 5.307 7.283 6.727
angles: 122.77 90.00 90.00
Fractional coordinates of all 12 atoms:
Dy 0.750 0.287 0.574
Dy 0.250 0.713 0.426
Co 0.250 0.048 0.096
Co 0.750 0.952 0.904
Si 0.250 0.229 0.458
Si 0.000 0.242 0.000
Si 0.500 0.758 0.000
Si 0.500 0.242 0.000
Si 0.000 0.758 0.000
Si 0.750 0.771 0.542
Os 0.250 0.426 0.853
Os 0.750 0.574 0.147

***

A geometry-optimized DyThCoOs structure, computed with PBE-GGA.

Output
Calculated volume, Å³ per cell: 82.8
Formation energy, meV per atom: -197
Size of the total moment, μB per cell: 0.486
DOS at the Fermi energy, states/eV per atom: 0.26

abc: 4.892 4.892 4.892
angles: 60.00 60.00 60.00
Fractional coordinates of all 4 atoms:
Co 0.750 0.750 0.750
Os 0.250 0.250 0.250
Th 0.500 0.500 0.500
Dy 0.000 0.000 0.000

***

A geometry-optimized DyTiCoOs structure, computed with PBE-GGA.

Output
Calculated volume, Å³ per cell: 66.3
Formation energy, meV per atom: -215
Size of the total moment, μB per cell: 0.435
DOS at the Fermi energy, states/eV per atom: 0.39

abc: 4.544 4.544 4.544
angles: 60.00 60.00 60.00
Fractional coordinates of all 4 atoms:
Co 0.250 0.250 0.250
Ti 0.500 0.500 0.500
Os 0.750 0.750 0.750
Dy 0.000 0.000 0.000

***

A geometry-optimized DyTmCoOs structure, computed with PBE-GGA.

Output
Calculated volume, Å³ per cell: 75.5
Formation energy, meV per atom: -167
Size of the total moment, μB per cell: 0.000
DOS at the Fermi energy, states/eV per atom: 0.95

abc: 4.744 4.744 4.744
angles: 60.00 60.00 60.00
Fractional coordinates of all 4 atoms:
Co 0.750 0.750 0.750
Tm 0.500 0.500 0.500
Os 0.250 0.250 0.250
Dy 0.000 0.000 0.000

***

A geometry-optimized DyYCoOs structure, computed with PBE-GGA.

Output
Calculated volume, Å³ per cell: 77.5
Formation energy, meV per atom: -99
Size of the total moment, μB per cell: 0.000
DOS at the Fermi energy, states/eV per atom: 1.02

abc: 4.786 4.786 4.786
angles: 60.00 60.00 60.00
Fractional coordinates of all 4 atoms:
Y 0.750 0.750 0.750
Co 0.000 0.000 0.000
Os 0.500 0.500 0.500
Dy 0.250 0.250 0.250

***

A geometry-optimized DyCoP2 structure, computed with PBE-GGA.

Output
Calculated volume, Å³ per cell: 66.1
Formation energy, meV per atom: -981
Size of the total moment, μB per cell: 0.081
DOS at the Fermi energy, states/eV per atom: 0.73

abc: 3.797 3.797 5.313
angles: 110.91 110.91 90.05
Fractional coordinates of all 4 atoms:
Dy 0.221 0.881 0.228
Co 0.471 0.631 0.728
P 0.851 0.511 0.488
P 0.591 0.251 0.968

***

Copy entry 5 word for word.
A geometry-optimized DyTiCoOs structure, computed with PBE-GGA.

Output
Calculated volume, Å³ per cell: 66.3
Formation energy, meV per atom: -215
Size of the total moment, μB per cell: 0.435
DOS at the Fermi energy, states/eV per atom: 0.39

abc: 4.544 4.544 4.544
angles: 60.00 60.00 60.00
Fractional coordinates of all 4 atoms:
Co 0.250 0.250 0.250
Ti 0.500 0.500 0.500
Os 0.750 0.750 0.750
Dy 0.000 0.000 0.000

***

Which formula does entry 4 have?
DyThCoOs

***

Which formula does entry 1 have?
DyCoOs